*a*
Below is an optimized crystal structure of YTePN2, with properties calculated at the PBE level.

* total moment: 0.85 μB/atom

Unit cell a=4.366 b=4.366 c=6.489 alpha=90.00 beta=90.00 gamma=90.00
Space group P4/mmm (No. 123)
Unique sites:
Y1 0.000 0.000 0.000 (multiplicity 1)
Te1 0.000 0.000 0.500 (multiplicity 1)
P1 0.500 0.500 0.500 (multiplicity 1)
N1 0.000 0.500 0.000 (multiplicity 2)

=====

*b*
Below is an optimized crystal structure of YTePN2, with properties calculated at the PBE level.

* total moment: 0.00 μB/atom

Unit cell a=4.024 b=4.024 c=5.124 alpha=90.00 beta=90.00 gamma=90.00
Space group P4/mmm (No. 123)
Unique sites:
Y1 0.000 0.000 0.000 (multiplicity 1)
Te1 0.500 0.500 0.000 (multiplicity 1)
P1 0.500 0.500 0.500 (multiplicity 1)
N1 0.000 0.500 0.500 (multiplicity 2)

=====

*b* comes first in stability; the runner-up is 418 meV per atom higher.

=====

*a*
Below is an optimized crystal structure of Ti3PN, with properties calculated at the PBE level.

* total moment: 0.00 μB/atom

Unit cell a=14.735 b=2.958 c=6.697 alpha=90.00 beta=91.16 gamma=90.00
Space group C2/m (No. 12)
Unique sites:
Ti1 0.035 0.000 0.212 (multiplicity 4)
Ti2 0.159 0.000 0.530 (multiplicity 4)
Ti3 0.207 0.500 0.173 (multiplicity 4)
P1 0.129 0.000 0.909 (multiplicity 4)
N1 0.093 0.500 0.370 (multiplicity 4)

=====

*b*
Below is an optimized crystal structure of Ti3PN, with properties calculated at the PBE level.

* total moment: 0.00 μB/atom

Unit cell a=3.208 b=10.126 c=7.824 alpha=90.00 beta=90.00 gamma=90.00
Space group Cmcm (No. 63)
Unique sites:
Ti1 0.000 0.060 0.250 (multiplicity 4)
Ti2 0.000 0.366 0.054 (multiplicity 8)
P1 0.000 0.255 0.750 (multiplicity 4)
N1 0.000 0.000 0.000 (multiplicity 4)

=====

*b* comes first in stability; the runner-up is 499 meV per atom higher.

=====

*a*
Below is an optimized crystal structure of Ti4P2N, with properties calculated at the PBE level.

* total moment: 0.00 μB/atom

Unit cell a=9.931 b=3.215 c=6.778 alpha=90.00 beta=120.37 gamma=90.00
Space group C2/m (No. 12)
Unique sites:
Ti1 0.079 0.000 0.358 (multiplicity 4)
Ti2 0.148 0.500 0.047 (multiplicity 4)
P1 0.145 0.500 0.679 (multiplicity 4)
N1 0.000 0.000 0.000 (multiplicity 2)

=====

*b*
Below is an optimized crystal structure of Ti4P2N, with properties calculated at the PBE level.

* total moment: 0.00 μB/atom

Unit cell a=3.892 b=3.892 c=13.117 alpha=90.00 beta=90.00 gamma=90.00
Space group I4/mmm (No. 139)
Unique sites:
Ti1 0.000 0.000 0.170 (multiplicity 4)
Ti2 0.000 0.500 0.000 (multiplicity 4)
P1 0.000 0.000 0.358 (multiplicity 4)
N1 0.000 0.000 0.000 (multiplicity 2)

=====

*a* comes first in stability; the runner-up is 168 meV per atom higher.

=====

*a*
Below is an optimized crystal structure of Ti2PN, with properties calculated at the PBE level.

* total moment: 0.00 μB/atom

Unit cell a=3.1824 b=3.1824 c=16.9752 alpha=90.00 beta=90.00 gamma=120.00
Space group R-3m (No. 166, hexagonal axes)
Unique sites:
Ti1 0.0000 0.0000 0.2312 (multiplicity 6)
P1 0.0000 0.0000 0.0000 (multiplicity 3)
N1 0.0000 0.0000 0.5000 (multiplicity 3)

=====

*b*
Below is an optimized crystal structure of Ti2PN, with properties calculated at the PBE level.

* total moment: 0.00 μB/atom

Unit cell a=5.816 b=5.816 c=5.816 alpha=90.00 beta=90.00 gamma=90.00
Space group Fm-3m (No. 225)
Unique sites:
Ti1 0.250 0.250 0.250 (multiplicity 8)
P1 0.000 0.000 0.000 (multiplicity 4)
N1 0.000 0.000 0.500 (multiplicity 4)

=====

*a* comes first in stability; the runner-up is 887 meV per atom higher.